1.
First-principles (GGA-PBE) data for a relaxed structure of Pr3YEr5, as listed in the Alexandria database.

```
Pr3YEr5
1.0
9.395 0.053 1.728
2.623 9.022 1.728
5.528 4.174 9.452
Er Pr Y
10 6 2
direct
0.654 0.156 0.757
0.156 0.654 0.757
0.491 0.491 0.223
0.259 0.741 0.000
0.189 0.189 0.032
0.346 0.844 0.243
0.741 0.259 0.000
0.811 0.811 0.968
0.844 0.346 0.243
0.509 0.509 0.777
0.340 0.340 0.634
0.000 0.000 0.000
0.660 0.660 0.366
0.703 0.703 0.807
0.297 0.297 0.193
0.000 0.000 0.500
0.850 0.850 0.397
0.150 0.150 0.603
```

Results
VASP energy   -4.3152 eV per atom
Symmetry   C2/m, No. 12

***

2.
First-principles (GGA-PBE) data for a relaxed structure of Pr12Y5Er2, as listed in the Alexandria database.

```
Pr12Y5Er2
1.0
7.608 0.000 0.000
-3.804 9.205 4.654
0.000 1.117 10.053
Y Pr Er
5 12 2
direct
0.678 0.357 0.835
0.000 0.000 0.500
0.174 0.348 0.823
0.826 0.652 0.177
0.322 0.643 0.165
0.073 0.671 0.833
0.002 0.004 0.203
0.410 0.322 0.525
0.927 0.329 0.167
0.491 0.983 0.688
0.912 0.322 0.525
0.998 0.996 0.797
0.403 0.329 0.167
0.597 0.671 0.833
0.509 0.017 0.312
0.590 0.678 0.475
0.088 0.678 0.475
0.300 0.000 0.000
0.700 0.000 0.000
```

Results
VASP energy   -5.0432 eV per atom
Symmetry   C2/m, No. 12
Polymorph energy (0 for the lowest one)   45.5 kJ/mol of formula units

***

3.
First-principles (GGA-PBE) data for a relaxed structure of PrY2Er, as listed in the Alexandria database.

```
PrY2Er
1.0
3.520 0.021 1.049
0.835 5.756 3.509
-0.107 0.443 6.777
Y Pr Er
2 1 1
direct
0.003 0.079 0.915
0.497 0.585 0.421
0.250 0.171 0.329
0.750 0.666 0.834
```

Results
VASP energy   -5.5542 eV per atom
Symmetry   Imm2, No. 44
Polymorph energy (0 for the lowest one)   3.9 kJ/mol of formula units

***

4.
First-principles (GGA-PBE) data for a relaxed structure of PrY4Er4, as listed in the Alexandria database.

```
PrY4Er4
1.0
-1.313 3.373 3.473
4.174 -1.468 6.625
4.815 6.310 -0.686
Y Er Pr
4 4 1
direct
0.667 0.332 0.333
0.333 0.668 0.667
0.000 0.333 0.668
0.000 0.667 0.332
0.667 0.000 0.665
0.333 0.335 0.000
0.333 0.000 0.335
0.667 0.665 0.000
0.000 0.000 0.000
```

Results
VASP energy   -5.4061 eV per atom
Symmetry   I4/mmm, No. 139

***

5.
First-principles (GGA-PBE) data for a relaxed structure of Pr12Y2Er, as listed in the Alexandria database.

```
Pr12Y2Er
1.0
-6.356 -0.759 1.752
-1.564 -1.424 -6.291
4.241 -24.923 4.588
Er Pr Y
2 24 4
direct
0.500 0.000 0.000
0.000 0.500 0.000
0.332 0.168 0.563
0.332 0.832 0.437
0.317 0.817 0.113
0.500 0.500 0.786
0.000 0.000 0.786
0.500 0.500 0.663
0.832 0.668 0.437
0.000 0.000 0.214
0.317 0.183 0.887
0.500 0.500 0.214
0.668 0.832 0.563
0.683 0.183 0.113
0.168 0.668 0.563
0.500 0.500 0.337
0.683 0.817 0.887
0.668 0.168 0.437
0.000 0.000 0.663
0.168 0.332 0.437
0.817 0.317 0.887
0.000 0.000 0.337
0.183 0.317 0.113
0.832 0.332 0.563
0.183 0.683 0.887
0.817 0.683 0.113
0.500 0.000 0.271
0.000 0.500 0.729
0.000 0.500 0.271
0.500 0.000 0.729
```

Results
VASP energy   -4.6751 eV per atom
Symmetry   P4/nbm, No. 125

***

6.
First-principles (GGA-PBE) data for a relaxed structure of Pr5Y2Er5, as listed in the Alexandria database.

```
Pr5Y2Er5
1.0
4.959 0.000 1.119
2.653 10.482 -0.208
0.817 -1.299 7.929
Er Y Pr
5 2 5
direct
0.667 0.000 0.666
0.000 0.500 0.500
0.333 0.000 0.334
0.668 0.748 0.916
0.332 0.252 0.084
0.667 0.499 0.167
0.333 0.501 0.833
0.668 0.250 0.414
0.332 0.750 0.586
0.999 0.249 0.752
0.001 0.751 0.248
0.000 0.000 0.000
```

Results
VASP energy   -4.9493 eV per atom
Symmetry   C2/m, No. 12

***

7.
First-principles (GGA-PBE) data for a relaxed structure of PrY2Er, as listed in the Alexandria database.

```
PrY2Er
1.0
5.724 0.000 0.000
2.862 4.957 0.000
2.862 1.652 4.673
Y Pr Er
2 1 1
direct
0.750 0.750 0.750
0.250 0.250 0.250
0.000 0.000 0.000
0.500 0.500 0.500
```

Results
VASP energy   -5.4452 eV per atom
Symmetry   Fm-3m, No. 225
Polymorph energy (0 for the lowest one)   46.0 kJ/mol of formula units

***

8.
First-principles (GGA-PBE) data for a relaxed structure of Pr6Y12Er, as listed in the Alexandria database.

```
Pr6Y12Er
1.0
-3.487 3.752 -7.197
-5.107 -7.195 0.439
-3.959 4.904 6.190
Y Pr Er
12 6 1
direct
0.353 0.353 0.081
0.757 0.243 0.500
0.757 0.500 0.243
0.243 0.500 0.757
0.243 0.757 0.500
0.500 0.243 0.757
0.919 0.647 0.647
0.500 0.757 0.243
0.647 0.647 0.919
0.353 0.081 0.353
0.081 0.353 0.353
0.647 0.919 0.647
0.903 0.903 0.341
0.097 0.659 0.097
0.659 0.097 0.097
0.097 0.097 0.659
0.903 0.341 0.903
0.341 0.903 0.903
0.000 0.000 0.000
```

Results
VASP energy   -5.6245 eV per atom
Symmetry   R-3m, No. 166
Polymorph energy (0 for the lowest one)   161.1 kJ/mol of formula units

***

9.
First-principles (GGA-PBE) data for a relaxed structure of Pr2YEr8, as listed in the Alexandria database.

```
Pr2YEr8
1.0
6.014 0.000 -2.712
-0.719 6.411 -1.594
0.377 0.752 8.861
Er Pr Y
8 2 1
direct
0.412 0.095 0.823
0.347 0.402 0.173
0.588 0.905 0.177
0.653 0.598 0.827
0.199 0.804 0.399
0.801 0.196 0.601
0.174 0.598 0.827
0.826 0.402 0.173
0.245 0.312 0.491
0.755 0.688 0.509
0.000 0.000 0.000
```

Results
VASP energy   -4.6013 eV per atom
Symmetry   C2/m, No. 12
Polymorph energy (0 for the lowest one)   18.0 kJ/mol of formula units

***

10.
First-principles (GGA-PBE) data for a relaxed structure of Pr3Y7Er2, as listed in the Alexandria database.

```
Pr3Y7Er2
1.0
3.618 0.000 -0.473
0.000 5.641 0.000
0.860 0.000 20.669
Y Pr Er
7 3 2
direct
0.285 0.500 0.570
0.586 0.000 0.172
0.414 0.000 0.828
0.715 0.500 0.430
0.932 0.500 0.864
0.068 0.500 0.136
0.000 0.000 0.000
0.500 0.500 0.000
0.170 0.000 0.339
0.830 0.000 0.661
0.362 0.500 0.726
0.638 0.500 0.274
```

Results
VASP energy   -5.4976 eV per atom
Symmetry   P2/m, No. 10

***

11.
First-principles (GGA-PBE) data for a relaxed structure of Pr2Y2Er3, as listed in the Alexandria database.

```
Pr2Y2Er3
1.0
7.986 0.000 -2.823
-3.993 6.916 -2.823
0.000 0.000 8.470
Y Pr Er
4 4 6
direct
0.000 0.000 0.413
0.587 0.087 0.087
0.500 0.413 0.500
0.913 0.500 0.000
0.314 0.500 0.000
0.000 0.000 0.814
0.500 0.814 0.500
0.186 0.686 0.686
0.056 0.306 0.250
0.806 0.250 0.556
0.250 0.944 0.194
0.750 0.556 0.306
0.444 0.194 0.750
0.694 0.750 0.944
```

Results
VASP energy   -4.9474 eV per atom
Symmetry   I2_13, No. 199
Polymorph energy (0 for the lowest one)   11.1 kJ/mol of formula units

***

12.
First-principles (GGA-PBE) data for a relaxed structure of Pr3Y5Er, as listed in the Alexandria database.

```
Pr3Y5Er
1.0
-2.616 4.195 5.143
-6.748 -6.866 2.168
8.765 -0.092 4.532
Pr Er Y
6 2 10
direct
0.250 0.362 0.362
0.750 0.638 0.638
0.250 0.638 0.000
0.750 0.000 0.362
0.750 0.362 0.000
0.250 0.000 0.638
0.500 0.000 0.000
0.000 0.000 0.000
0.750 0.696 0.000
0.000 0.333 0.667
0.250 0.304 0.000
0.500 0.333 0.667
0.250 0.000 0.304
0.750 0.000 0.696
0.250 0.696 0.696
0.000 0.667 0.333
0.750 0.304 0.304
0.500 0.667 0.333
```

Results
VASP energy   -5.6456 eV per atom
Symmetry   P6_3/mcm, No. 193

***

13.
First-principles (GGA-PBE) data for a relaxed structure of Pr3YEr4, as listed in the Alexandria database.

```
Pr3YEr4
1.0
-3.200 0.629 -5.391
1.695 -6.914 -1.813
-9.534 -3.707 5.225
Er Pr Y
8 6 2
direct
0.481 0.880 0.252
0.648 0.119 0.000
0.647 0.121 0.500
0.147 0.879 0.000
0.148 0.881 0.500
0.981 0.120 0.248
0.481 0.880 0.748
0.981 0.120 0.752
0.484 0.372 0.751
0.647 0.630 0.000
0.984 0.628 0.749
0.147 0.370 0.500
0.984 0.628 0.251
0.484 0.372 0.249
0.144 0.369 0.000
0.644 0.631 0.500
```

Results
VASP energy   -4.8579 eV per atom
Symmetry   Pmn2_1, No. 31

***

14.
First-principles (GGA-PBE) data for a relaxed structure of Pr6Y8Er, as listed in the Alexandria database.

```
Pr6Y8Er
1.0
-9.086 -0.949 -0.882
-3.443 -7.189 -4.551
-4.372 -6.414 4.184
Y Pr Er
8 6 1
direct
0.423 0.423 0.732
0.888 0.247 0.580
0.112 0.753 0.420
0.247 0.285 0.580
0.577 0.577 0.268
0.715 0.112 0.420
0.285 0.888 0.580
0.753 0.715 0.420
0.539 0.100 0.132
0.771 0.461 0.868
0.100 0.229 0.132
0.461 0.900 0.868
0.900 0.771 0.868
0.229 0.539 0.132
0.000 0.000 0.000
```

Results
VASP energy   -5.5502 eV per atom
Symmetry   R-3, No. 148

***

15.
First-principles (GGA-PBE) data for a relaxed structure of PrY8Er6, as listed in the Alexandria database.

```
PrY8Er6
1.0
9.028 0.000 0.000
4.514 7.819 0.000
4.514 2.606 6.884
Er Y Pr
6 8 1
direct
0.538 0.108 0.121
0.108 0.233 0.121
0.233 0.538 0.121
0.892 0.767 0.879
0.462 0.892 0.879
0.767 0.462 0.879
0.890 0.254 0.575
0.423 0.423 0.730
0.746 0.719 0.425
0.281 0.890 0.575
0.577 0.577 0.270
0.110 0.746 0.425
0.254 0.281 0.575
0.719 0.110 0.425
0.000 0.000 0.000
```

Results
VASP energy   -5.4528 eV per atom
Symmetry   R-3, No. 148
Polymorph energy (0 for the lowest one)   0.0 kJ/mol of formula units

***

16.
First-principles (GGA-PBE) data for a relaxed structure of Pr3YEr6, as listed in the Alexandria database.

```
Pr3YEr6
1.0
-5.754 2.895 1.288
-2.546 -0.899 -9.355
1.393 -5.896 2.727
Y Er Pr
1 6 3
direct
0.500 0.500 0.000
0.561 0.687 0.631
0.439 0.313 0.369
0.931 0.313 0.369
0.069 0.687 0.631
0.634 0.921 0.268
0.366 0.079 0.732
0.073 0.701 0.145
0.000 0.000 0.000
0.927 0.299 0.855
```

Results
VASP energy   -4.5949 eV per atom
Symmetry   C2/m, No. 12
Polymorph energy (0 for the lowest one)   90.3 kJ/mol of formula units

***

17.
First-principles (GGA-PBE) data for a relaxed structure of Pr6Y5Er, as listed in the Alexandria database.

```
Pr6Y5Er
1.0
-3.946 10.917 2.665
-5.505 -0.013 -3.109
-5.257 -1.997 2.889
Pr Y Er
6 5 1
direct
0.249 0.250 0.000
0.751 0.082 0.332
0.249 0.585 0.332
0.751 0.750 0.000
0.751 0.415 0.668
0.249 0.918 0.668
0.500 0.167 0.667
0.500 0.500 0.000
0.000 0.333 0.333
0.500 0.833 0.333
0.000 0.667 0.667
0.000 0.000 0.000
```

Results
VASP energy   -5.4556 eV per atom
Symmetry   C2/m, No. 12

***

18.
First-principles (GGA-PBE) data for a relaxed structure of PrY3Er12, as listed in the Alexandria database.

```
PrY3Er12
1.0
-2.101 4.129 1.869
-4.526 -1.806 -1.098
-0.928 -8.622 18.007
Er Y Pr
12 3 1
direct
0.500 0.000 0.874
0.000 0.500 0.624
0.000 0.500 0.376
0.500 0.500 0.000
0.500 0.000 0.376
0.000 0.500 0.126
0.500 0.000 0.126
0.500 0.000 0.624
0.500 0.500 0.251
0.500 0.500 0.500
0.000 0.500 0.874
0.500 0.500 0.749
0.000 0.000 0.500
0.000 0.000 0.251
0.000 0.000 0.749
0.000 0.000 0.000
```

Results
VASP energy   -4.9073 eV per atom
Symmetry   P4/mmm, No. 123

***

19.
First-principles (GGA-PBE) data for a relaxed structure of Pr2Y2Er7, as listed in the Alexandria database.

```
Pr2Y2Er7
1.0
5.457 1.499 2.163
1.164 8.289 1.924
1.164 -1.109 8.437
Pr Y Er
2 2 7
direct
0.122 0.234 0.234
0.878 0.766 0.766
0.500 0.218 0.782
0.500 0.782 0.218
0.826 0.938 0.408
0.377 0.410 0.410
0.174 0.592 0.062
0.174 0.062 0.592
0.826 0.408 0.938
0.000 0.000 0.000
0.623 0.590 0.590
```

Results
VASP energy   -4.7898 eV per atom
Symmetry   C2/m, No. 12
Polymorph energy (0 for the lowest one)   5.2 kJ/mol of formula units

***

Results for DOS(E_F): 12.45; 30.23; 7.05; 13.56; 18.06; 17.45; 7.68; 33.18; 16.83; 19.85; 10.12; 13.30; 14.32; 23.49; 23.55; 17.66; 13.52; 21.62; 18.24 (in states/eV/f.u., following the order of the records).
Results for V: 36.96; 34.97; 33.19; 31.87; 37.72; 33.12; 33.15; 34.74; 32.44; 35.34; 33.41; 33.42; 33.23; 34.28; 32.40; 33.48; 33.82; 31.18; 32.57 (in Å³/atom, following the order of the records).